Below is an optimized crystal structure of Ba3MgZn2Ag6, with properties calculated at the GGA-PBE level.

Summary:
Energy of formation ... -0.0909 eV/atom
Mass density ... 5.7 g cm⁻³

a = 6.923 Å, b = 6.923 Å, c = 8.585 Å
α = 90.00°, β = 90.00°, γ = 120.00°
Fractional coordinates of all 12 atoms:
Ba (0.000, 0.000, 0.000)
Ba (0.333, 0.667, 0.709)
Ba (0.667, 0.333, 0.291)
Mg (0.000, 0.000, 0.500)
Zn (0.333, 0.667, 0.099)
Zn (0.667, 0.333, 0.901)
Ag (0.195, 0.389, 0.344)
Ag (0.195, 0.805, 0.344)
Ag (0.389, 0.195, 0.656)
Ag (0.611, 0.805, 0.344)
Ag (0.805, 0.195, 0.656)
Ag (0.805, 0.611, 0.656)


Below is an optimized crystal structure of Sr2ReAs2, with properties calculated at the GGA-PBE level.

Summary:
Energy of formation ... -0.3261 eV/atom
Mass density ... 7.4 g cm⁻³

a = 6.817 Å, b = 6.817 Å, c = 4.925 Å
α = 90.00°, β = 90.00°, γ = 90.00°
Fractional coordinates of all 10 atoms:
Sr (0.176, 0.324, 0.000)
Sr (0.324, 0.824, 0.000)
Sr (0.676, 0.176, 0.000)
Sr (0.824, 0.676, 0.000)
Re (0.000, 0.000, 0.500)
Re (0.500, 0.500, 0.500)
As (0.144, 0.644, 0.500)
As (0.356, 0.144, 0.500)
As (0.644, 0.856, 0.500)
As (0.856, 0.356, 0.500)


Below is an optimized crystal structure of TaAgAs2, with properties calculated at the GGA-PBE level.

Summary:
Energy of formation ... -0.0555 eV/atom
Mass density ... 10.1 g cm⁻³

a = 3.402 Å, b = 3.402 Å, c = 6.201 Å
α = 90.00°, β = 90.00°, γ = 90.00°
Fractional coordinates of all 4 atoms:
Ta (0.000, 0.000, 0.000)
Ag (0.000, 0.000, 0.500)
As (0.500, 0.500, 0.221)
As (0.500, 0.500, 0.779)


Below is an optimized crystal structure of CuAu2Br, with properties calculated at the GGA-PBE level.

Summary:
Formation energy (no corrections) ... 0.3384 eV per atom
Mass density ... 10.4 g cm⁻³

a = 6.385 Å, b = 6.385 Å, c = 6.385 Å
α = 98.75°, β = 98.75°, γ = 134.10°
Fractional coordinates of all 8 atoms:
Cu (0.000, 0.000, 0.000)
Cu (0.750, 0.250, 0.500)
Au (0.058, 0.625, 0.933)
Au (0.375, 0.308, 0.433)
Au (0.692, 0.125, 0.067)
Au (0.875, 0.942, 0.567)
Br (0.250, 0.750, 0.500)
Br (0.500, 0.500, 0.000)


Below is an optimized crystal structure of NaMn2FeH, with properties calculated at the GGA-PBE level.

Summary:
Uncorrected energy ... -27.13 eV per formula unit
Mass density ... 4.0 g cm⁻³

a = 4.957 Å, b = 4.957 Å, c = 3.199 Å
α = 90.00°, β = 90.00°, γ = 90.00°
Fractional coordinates of all 5 atoms:
Na (0.000, 0.000, 0.000)
Mn (0.000, 0.500, 0.500)
Mn (0.500, 0.000, 0.500)
Fe (0.500, 0.500, 0.500)
H (0.500, 0.500, 0.000)


Below is an optimized crystal structure of Na5B7C3, with properties calculated at the GGA-PBE level.

Summary:
Energy of formation ... 0.1176 eV/atom
Mass density ... 2.4 g cm⁻³

a = 9.101 Å, b = 9.101 Å, c = 13.435 Å
α = 112.90°, β = 112.90°, γ = 17.76°
Fractional coordinates of all 30 atoms:
Na (0.000, 0.000, 0.000)
Na (0.000, 0.000, 0.500)
Na (0.200, 0.200, 0.397)
Na (0.200, 0.200, 0.901)
Na (0.400, 0.400, 0.298)
Na (0.400, 0.400, 0.804)
Na (0.600, 0.600, 0.196)
Na (0.600, 0.600, 0.702)
Na (0.800, 0.800, 0.099)
Na (0.800, 0.800, 0.603)
B (0.031, 0.031, 0.309)
B (0.158, 0.158, 0.067)
B (0.165, 0.165, 0.582)
B (0.227, 0.227, 0.202)
B (0.229, 0.229, 0.711)
B (0.378, 0.378, 0.506)
B (0.437, 0.437, 0.122)
B (0.563, 0.563, 0.878)
B (0.622, 0.622, 0.494)
B (0.771, 0.771, 0.289)
B (0.773, 0.773, 0.798)
B (0.835, 0.835, 0.418)
B (0.842, 0.842, 0.933)
B (0.969, 0.969, 0.691)
C (0.031, 0.031, 0.816)
C (0.373, 0.373, 0.996)
C (0.437, 0.437, 0.626)
C (0.563, 0.563, 0.374)
C (0.627, 0.627, 0.004)
C (0.969, 0.969, 0.184)


Across the entries above, DOS at the Fermi energy takes the values 6.0 6.7 1.7 0.1 2.2 7.2 states/eV/cell, respectively.